## AcAu2Br6 (PBE-GGA)

Data for AcAu2Br6 after structural relaxation.

CIF file:
```
data_AcAu2Br6
_cell_length_a 15.475
_cell_length_b 13.177
_cell_length_c 7.640
_cell_angle_alpha 90.00
_cell_angle_beta 104.39
_cell_angle_gamma 90.00
_symmetry_space_group_name_H-M 'C 1 2/c 1'
_symmetry_Int_Tables_number 15
_symmetry_space_group_name_Hall '-C 2yc'
loop_
_atom_site_label
_atom_site_type_symbol
_atom_site_fract_x
_atom_site_fract_y
_atom_site_fract_z
Ac1 Ac 0.000 0.102 0.250
Au1 Au 0.128 0.413 0.138
Br1 Br 0.107 0.072 0.638
Br2 Br 0.120 0.423 0.485
Br3 Br 0.153 0.225 0.164
```

As for the total energy: -3.174 eV/atom. The density of states at the Fermi level comes out at 2.56 states/eV/f.u. As for the crystal system: monoclinic. As for the energy relative to the elements, uncorrected: -758 kJ/mol of formula units. The total magnetization is 0.0 μB per formula unit.